VASP calculation (GGA+U) on a relaxed structure of NiSO4F.

Size of the total moment   0.143 μB/atom
E   -4.95 eV per atom
Mass density   3.261 g/cm³

Geometry as POSCAR:
```
NiSO4F
1.0
5.273 0.000 0.000
0.000 5.348 0.000
-0.747 0.000 6.276
Ni S O F
2 2 8 2
Direct
0.230 0.250 0.483
0.770 0.750 0.517
0.315 0.750 0.723
0.685 0.250 0.277
0.151 0.517 0.691
0.151 0.983 0.691
0.393 0.250 0.210
0.402 0.750 0.477
0.598 0.250 0.523
0.607 0.750 0.790
0.849 0.017 0.309
0.849 0.483 0.309
0.290 0.750 0.984
0.710 0.250 0.016
```